(1)
Computed, not measured: a geometry-optimized Ac3HgRh structure at the PBE-GGA level of DFT.

Cell and atoms, written as extended XYZ:
```
20
Lattice="-0.299 1.532 3.994 2.665 -9.296 3.765 15.279 4.192 -0.463" Properties=species:S:1:pos:R:3 pbc="T T T"
Ac 7.266 -2.767 2.756
Ac 16.771 -1.681 3.052
Ac 10.378 -0.805 4.539
Ac 5.002 -4.621 5.600
Ac 12.643 1.049 1.696
Ac 12.960 -3.878 3.609
Ac 4.685 0.306 3.687
Ac 16.009 -4.274 6.292
Ac 1.636 0.702 1.004
Ac 0.873 -1.891 4.244
Ac 8.219 0.986 1.389
Ac 9.426 -4.558 5.907
Hg 13.863 -0.497 4.682
Hg 7.441 -7.084 4.426
Hg 3.782 -3.075 2.614
Hg 10.204 3.513 2.870
Rh 10.164 -3.481 3.247
Rh 14.820 2.810 1.183
Rh 7.481 -0.091 4.048
Rh 2.825 -6.382 6.112
```

Output
* M_tot: 0.0 μB per formula unit
* energy above the lowest structure with this stoichiometry: 0.000 eV/atom
* DOS(E_F): 0.9365 states/eV per atom
* E: -90.27 eV/cell
* DFT formation energy: -0.52 eV per atom

***

(2)
Computed, not measured: a geometry-optimized Ac6HgRh2 structure at the PBE-GGA level of DFT.

Cell and atoms, written as extended XYZ:
```
9
Lattice="4.097 0.000 0.000 -2.048 7.940 1.646 0.000 0.705 10.119" Properties=species:S:1:pos:R:3 pbc="T T T"
Rh 2.048 2.141 9.369
Rh 0.000 6.504 2.396
Hg 0.000 0.352 5.060
Ac 0.000 0.728 1.680
Ac 2.048 7.917 10.086
Ac 2.048 4.310 2.504
Ac 0.000 4.335 9.262
Ac 2.048 2.666 6.334
Ac 0.000 5.979 5.432
```

Output
* M_tot: 0.0 μB per formula unit
* energy above the lowest structure with this stoichiometry: 0.040 eV/atom
* DOS(E_F): 0.9403 states/eV per atom
* E: -43.34 eV/cell
* DFT formation energy: -0.41 eV per atom

***

(3)
Computed, not measured: a geometry-optimized Ac7Hg2Rh2 structure at the PBE-GGA level of DFT.

Cell and atoms, written as extended XYZ:
```
11
Lattice="-3.384 3.044 5.906 3.512 -5.031 4.606 6.518 3.393 -1.265" Properties=species:S:1:pos:R:3 pbc="T T T"
Rh 7.107 -1.741 5.458
Rh -0.461 3.147 3.789
Ac 0.927 -2.230 6.387
Ac 4.215 -0.575 5.793
Ac 5.719 3.635 2.859
Ac 2.431 1.981 3.453
Ac 2.494 0.989 8.708
Ac 0.000 0.000 0.000
Ac 4.152 0.417 0.539
Hg 4.348 2.809 6.142
Hg 2.298 -1.403 3.105
```

Output
* M_tot: 0.0 μB per formula unit
* energy above the lowest structure with this stoichiometry: 0.053 eV/atom
* DOS(E_F): 1.0768 states/eV per atom
* E: -48.05 eV/cell
* DFT formation energy: -0.36 eV per atom

***

(4)
Computed, not measured: a geometry-optimized Ac7Hg2Rh2 structure at the PBE-GGA level of DFT.

Cell and atoms, written as extended XYZ:
```
11
Lattice="4.155 0.000 0.891 1.064 8.939 5.173 -0.054 0.018 10.382" Properties=species:S:1:pos:R:3 pbc="T T T"
Ac 3.465 0.645 4.106
Ac 2.385 6.344 9.143
Ac 0.603 1.458 7.319
Ac 3.117 8.747 5.730
Ac 1.456 6.369 13.475
Ac 3.020 4.535 6.181
Ac 4.055 3.459 11.486
Rh 0.808 6.900 6.364
Rh 2.411 3.109 9.023
Hg 3.958 7.764 11.938
Hg 1.444 3.092 3.399
```

Output
* M_tot: 0.0 μB per formula unit
* energy above the lowest structure with this stoichiometry: 0.000 eV/atom
* DOS(E_F): 1.1079 states/eV per atom
* E: -48.63 eV/cell
* DFT formation energy: -0.41 eV per atom

***

(5)
Computed, not measured: a geometry-optimized AcHg5Rh structure at the PBE-GGA level of DFT.

Cell and atoms, written as extended XYZ:
```
7
Lattice="-0.649 -3.483 -3.420 -0.097 -3.440 3.522 -7.521 0.819 0.593" Properties=species:S:1:pos:R:3 pbc="T T T"
Rh -3.761 0.409 0.297
Hg -5.266 -1.152 2.172
Hg -2.628 -1.490 -1.528
Hg -2.352 -1.469 1.942
Hg -0.373 -3.461 0.051
Hg -5.542 -1.173 -1.298
Ac 0.000 0.000 0.000
```

Output
* M_tot: 0.0 μB per formula unit
* DOS(E_F): 0.5187 states/eV per atom
* E: -14.41 eV/cell
* DFT formation energy: -0.21 eV per atom

***

(6)
Computed, not measured: a geometry-optimized AcHg2Rh structure at the PBE-GGA level of DFT.

Cell and atoms, written as extended XYZ:
```
32
Lattice="5.661 0.000 0.000 0.000 8.716 0.000 0.000 0.000 15.884" Properties=species:S:1:pos:R:3 pbc="T T T"
Rh 1.588 2.179 12.893
Rh 5.523 2.179 1.122
Rh 2.693 6.537 6.820
Rh 1.243 2.179 4.951
Rh 0.138 6.537 14.763
Rh 2.969 2.179 9.064
Rh 4.419 6.537 10.933
Rh 4.074 6.537 2.991
Ac 4.293 2.179 14.258
Ac 0.237 2.179 10.152
Ac 1.368 6.537 1.627
Ac 4.199 2.179 6.316
Ac 5.424 6.537 5.733
Ac 3.068 6.537 13.675
Ac 2.593 2.179 2.209
Ac 1.462 6.537 9.569
Hg 2.580 8.329 4.576
Hg 0.251 8.329 12.519
Hg 3.082 3.971 11.308
Hg 1.399 3.911 7.348
Hg 3.082 0.387 11.308
Hg 2.580 4.745 4.576
Hg 5.411 3.971 3.366
Hg 4.263 4.805 8.536
Hg 1.432 3.911 15.291
Hg 4.263 8.269 8.536
Hg 0.251 4.745 12.519
Hg 1.432 0.447 15.291
Hg 5.411 0.387 3.366
Hg 4.230 4.805 0.594
Hg 4.230 8.269 0.594
Hg 1.399 0.447 7.348
```

Output
* M_tot: 0.0 μB per formula unit
* energy above the lowest structure with this stoichiometry: 0.012 eV/atom
* DOS(E_F): 0.5361 states/eV per atom
* E: -111.12 eV/cell
* DFT formation energy: -0.46 eV per atom

***

(7)
Computed, not measured: a geometry-optimized Ac8Hg2Rh structure at the PBE-GGA level of DFT.

Cell and atoms, written as extended XYZ:
```
11
Lattice="5.103 0.000 0.000 0.000 8.035 1.203 -2.552 -1.920 9.984" Properties=species:S:1:pos:R:3 pbc="T T T"
Ac 2.552 4.404 6.406
Ac 0.000 1.712 4.780
Ac 0.000 6.647 8.390
Ac 2.552 -0.531 2.796
Ac 0.000 6.205 1.037
Ac 0.000 2.525 8.681
Ac 2.552 -0.089 10.150
Ac 2.552 3.591 2.505
Hg 0.000 5.250 4.405
Hg 2.552 0.866 6.782
Rh 2.552 0.000 0.000
```

Output
* M_tot: 0.0 μB per formula unit
* DOS(E_F): 1.1386 states/eV per atom
* E: -43.74 eV/cell
* DFT formation energy: -0.27 eV per atom

***

(8)
Computed, not measured: a geometry-optimized Ac2HgRh3 structure at the PBE-GGA level of DFT.

Cell and atoms, written as extended XYZ:
```
12
Lattice="-1.634 1.756 -5.705 2.873 -5.105 -1.997 -7.340 -2.373 4.530" Properties=species:S:1:pos:R:3 pbc="T T T"
Ac 0.304 -0.820 -1.886
Ac -1.924 -4.576 -0.659
Ac -4.177 -1.146 -2.513
Ac 0.936 -2.529 -5.816
Rh -3.866 -4.376 -3.398
Rh -2.235 -1.346 0.226
Rh 0.702 -4.112 -2.778
Rh -1.640 -0.548 -4.705
Rh -4.461 -5.174 1.532
Rh -6.802 -1.610 -0.395
Hg -4.518 -2.722 0.456
Hg -1.582 -3.001 -3.629
```

Output
* M_tot: 0.0 μB per formula unit
* energy above the lowest structure with this stoichiometry: 0.025 eV/atom
* DOS(E_F): 1.2624 states/eV per atom
* E: -66.46 eV/cell
* DFT formation energy: -0.44 eV per atom

***

(9)
Computed, not measured: a geometry-optimized AcHgRh2 structure at the PBE-GGA level of DFT.

Cell and atoms, written as extended XYZ:
```
8
Lattice="4.470 0.000 0.000 0.000 5.472 0.000 0.000 0.000 7.359" Properties=species:S:1:pos:R:3 pbc="T T T"
Rh 0.000 4.104 6.522
Rh 2.235 0.000 0.000
Rh 0.000 1.368 0.837
Rh 2.235 2.736 0.000
Hg 2.235 4.104 4.777
Hg 2.235 1.368 2.582
Ac 0.000 1.368 5.282
Ac 0.000 4.104 2.078
```

Output
* M_tot: 0.0 μB per formula unit
* DOS(E_F): 1.0442 states/eV per atom
* E: -41.84 eV/cell
* DFT formation energy: -0.45 eV per atom

***

(10)
Computed, not measured: a geometry-optimized Ac2HgRh2 structure at the PBE-GGA level of DFT.

Cell and atoms, written as extended XYZ:
```
10
Lattice="-1.422 1.590 3.392 -6.493 -4.622 -0.555 3.693 -5.693 4.217" Properties=species:S:1:pos:R:3 pbc="T T T"
Ac -2.221 -1.699 2.232
Ac 0.658 -3.811 4.429
Ac -4.880 -4.915 2.625
Ac -2.002 -7.027 4.822
Hg 0.000 0.000 0.000
Hg -1.400 -5.158 1.831
Rh -3.325 -7.608 2.172
Rh -3.610 -3.649 0.198
Rh 0.525 -2.708 1.489
Rh 0.810 -6.666 3.464
```

Output
* M_tot: 0.0 μB per formula unit
* DOS(E_F): 0.7498 states/eV per atom
* E: -52.46 eV/cell
* DFT formation energy: -0.60 eV per atom

***

(11)
Computed, not measured: a geometry-optimized Ac6HgRh2 structure at the PBE-GGA level of DFT.

Cell and atoms, written as extended XYZ:
```
18
Lattice="8.770 -0.146 -3.062 -4.783 7.538 -2.575 0.032 0.146 9.290" Properties=species:S:1:pos:R:3 pbc="T T T"
Ac -1.930 5.947 6.433
Ac 2.721 2.194 -0.586
Ac 3.347 5.801 0.899
Ac -0.343 4.848 0.485
Ac 0.673 1.737 2.754
Ac 4.363 2.689 3.167
Ac -1.933 7.421 2.733
Ac 5.950 1.591 -2.781
Ac 4.341 5.198 -2.877
Ac 1.300 5.344 4.238
Ac -0.321 2.340 6.529
Ac 5.953 0.117 0.920
Rh 2.985 0.000 2.112
Rh 1.353 4.733 -1.912
Rh 2.668 2.804 5.565
Rh 5.818 0.000 4.116
Hg -2.375 3.842 3.357
Hg 0.000 0.000 0.000
```

Output
* M_tot: 0.0 μB per formula unit
* energy above the lowest structure with this stoichiometry: 0.000 eV/atom
* DOS(E_F): 0.8919 states/eV per atom
* E: -87.40 eV/cell
* DFT formation energy: -0.45 eV per atom

***

(12)
Computed, not measured: a geometry-optimized Ac3HgRh structure at the PBE-GGA level of DFT.

Cell and atoms, written as extended XYZ:
```
10
Lattice="5.976 0.000 0.006 -2.983 6.611 -0.421 0.006 -3.275 9.035" Properties=species:S:1:pos:R:3 pbc="T T T"
Rh 3.001 4.643 0.305
Rh -0.003 -1.308 8.314
Ac 0.002 0.028 5.693
Ac 2.986 -1.362 8.062
Ac 0.004 0.683 1.952
Ac 2.994 2.653 6.667
Ac 2.996 3.307 2.926
Ac 0.013 4.698 0.557
Hg 0.006 3.380 4.566
Hg 2.993 -0.044 4.052
```

Output
* M_tot: 0.0 μB per formula unit
* energy above the lowest structure with this stoichiometry: 0.042 eV/atom
* DOS(E_F): 0.8786 states/eV per atom
* E: -44.72 eV/cell
* DFT formation energy: -0.48 eV per atom